CoRuF6 | GGA+U | relaxed

- DOS at the Fermi energy (states/eV per cell) = 6.544
- crystal system = trigonal
- uncorrected energy (Ry per atom) = -0.3702
- M_tot (μB per atom) = 0.625

Cell: 4.9726 4.9726 4.7008 Å, 90.00 90.00 120.00°
Element x y z (fractional)
Co1 0.0000 0.0000 0.0000
Ru1 0.6667 0.3333 0.5000
F1 0.3442 0.0179 0.7448
F2 0.3442 0.3263 0.2552
F3 0.6737 0.0179 0.2552
F4 0.6737 0.6558 0.7448
F5 0.9821 0.3263 0.7448
F6 0.9821 0.6558 0.2552